DFT (PBE) results for Ta2CoRu after structural relaxation.

Formation enthalpy at 0 K (meV/atom): -151.9

Structure (CIF):
```
data_Ta2CoRu
_cell_length_a 3.1729
_cell_length_b 3.1729
_cell_length_c 6.1236
_cell_angle_alpha 90.00
_cell_angle_beta 90.00
_cell_angle_gamma 90.00
_symmetry_space_group_name_H-M 'P 4 m m'
_symmetry_Int_Tables_number 99
loop_
_symmetry_equiv_pos_as_xyz
'x,y,z'
'-y,x,z'
'-x,-y,z'
'y,-x,z'
'-x,y,z'
'y,x,z'
'x,-y,z'
'-y,-x,z'
loop_
_atom_site_label
_atom_site_type_symbol
_atom_site_fract_x
_atom_site_fract_y
_atom_site_fract_z
Ta1 Ta 0.0000 0.0000 0.0000
Ta2 Ta 0.5000 0.5000 0.3002
Co1 Co 0.0000 0.0000 0.5059
Ru1 Ru 0.5000 0.5000 0.7699
```

=====

DFT (PBE) results for Er2Te3H after structural relaxation.

Distance to the lowest polymorph of the same formula (meV/atom): 0

Structure (CIF):
```
data_Er2Te3H
_cell_length_a 11.5350
_cell_length_b 4.0127
_cell_length_c 12.7267
_cell_angle_alpha 90.00
_cell_angle_beta 90.00
_cell_angle_gamma 90.00
_symmetry_space_group_name_H-M 'P n m a'
_symmetry_Int_Tables_number 62
loop_
_symmetry_equiv_pos_as_xyz
'x,y,z'
'-x,-y,-z'
'-x+1/2,-y,z+1/2'
'x+1/2,y,-z+1/2'
'x+1/2,-y+1/2,-z+1/2'
'-x+1/2,y+1/2,z+1/2'
'-x,y+1/2,-z'
'x,-y+1/2,z'
loop_
_atom_site_label
_atom_site_type_symbol
_atom_site_fract_x
_atom_site_fract_y
_atom_site_fract_z
Er1 Er 0.0614 0.2500 0.1759
Er2 Er 0.2029 0.2500 0.5224
Te1 Te 0.0701 0.7500 0.3761
Te2 Te 0.1131 0.2500 0.9371
Te3 Te 0.1749 0.7500 0.6979
H1 H 0.1377 0.7500 0.1251
```

=====

no.,ρ (Mg/m³)
1,14.06
2,8.10